Material: SrTiFe3Bi3O12
Method: DFT, PBE with a Hubbard U
State: relaxed

a b c (Å): 9.8048 9.8048 9.8048
angles (deg): 33.14 33.14 33.14
Atoms (fractional coordinates):
Sr1 0.3670 0.3670 0.3670
Ti1 0.9903 0.9903 0.9903
Fe1 0.7448 0.7448 0.7448
Fe2 0.2458 0.2458 0.2458
Fe3 0.4930 0.4930 0.4930
Bi1 0.8538 0.8538 0.8538
Bi2 0.1030 0.1030 0.1030
Bi3 0.6045 0.6045 0.6045
O1 0.6253 0.1904 0.0582
O2 0.1092 0.6902 0.5716
O3 0.0582 0.6253 0.1904
O4 0.5716 0.1092 0.6902
O5 0.1904 0.0582 0.6253
O6 0.6902 0.5716 0.1092
O7 0.4590 0.8592 0.3114
O8 0.9334 0.3610 0.8348
O9 0.3114 0.4590 0.8592
O10 0.8348 0.9334 0.3610
O11 0.8592 0.3114 0.4590
O12 0.3610 0.8348 0.9334

theoretical density: 7.4 Mg/m³
space group: R3 (146)
E_tot: -6.533 eV/atom
total moment: 11.00 Bohr magnetons per cell